Record 1
BaCa2PrCd4 | Alexandria | PBE-GGA | optimized geometry; formation energy = -2.6 eV per formula unit; calculated total energy = -0.0782 hartree per atom
1.0
-2.895 4.700 -0.818
-2.625 0.852 -4.850
-9.358 -2.195 1.470
Cd Ca Ba Pr
4 2 1 1
direct
0.129 0.129 0.614
0.871 0.871 0.386
0.381 0.381 0.857
0.619 0.619 0.143
0.249 0.249 0.254
0.751 0.751 0.746
0.000 0.000 0.000
0.500 0.500 0.500

=====

Record 2
Ba2CaCdPt | Alexandria | PBE-GGA | optimized geometry; formation energy = -2.2 eV per formula unit; calculated total energy = -0.1102 hartree per atom; energy relative to the lowest polymorph listed for this composition = 0.0 meV/atom
1.0
6.194 0.000 0.000
0.000 6.194 0.000
0.000 0.000 5.569
Ba Ca Pt Cd
2 1 1 1
direct
0.000 0.500 0.000
0.500 0.000 0.000
0.000 0.000 0.500
0.000 0.000 0.000
0.500 0.500 0.500

=====

Record 3
BaCa2CdPt | Alexandria | PBE-GGA | optimized geometry; formation energy = -2.3 eV per formula unit; calculated total energy = -0.1113 hartree per atom; energy relative to the lowest polymorph listed for this composition = 0.0 meV/atom
1.0
5.591 0.000 0.000
0.000 5.591 0.000
0.000 0.000 6.139
Ca Cd Ba Pt
2 1 1 1
direct
0.000 0.500 0.000
0.500 0.000 0.000
0.500 0.500 0.500
0.000 0.000 0.500
0.000 0.000 0.000

=====

Record 4
Ba2CaCdPt | Alexandria | PBE-GGA | optimized geometry; formation energy = -1.5 eV per formula unit; calculated total energy = -0.1051 hartree per atom; energy relative to the lowest polymorph listed for this composition = 139.8 meV/atom
1.0
-5.747 1.039 2.037
1.938 -0.711 5.830
1.062 5.298 0.293
Ca Ba Pt Cd
1 2 1 1
direct
0.500 0.500 0.500
0.500 0.000 0.000
0.000 0.500 0.000
0.000 0.000 0.000
0.000 0.000 0.500

=====

Record 5
BaCa2CdPt | Alexandria | PBE-GGA | optimized geometry; formation energy = -2.1 eV per formula unit; calculated total energy = -0.1099 hartree per atom; energy relative to the lowest polymorph listed for this composition = 40.1 meV/atom
1.0
-2.448 -2.242 -4.478
-2.470 -3.795 3.251
-4.295 3.364 0.664
Pt Ba Cd Ca
1 1 1 2
direct
0.000 0.000 0.000
0.500 0.500 0.500
0.000 0.000 0.500
0.500 0.000 0.000
0.000 0.500 0.000

=====

Record 6
Ba2CaCdRh | Alexandria | PBE-GGA | optimized geometry; formation energy = -0.9 eV per formula unit; calculated total energy = -0.1106 hartree per atom; energy relative to the lowest polymorph listed for this composition = 0.0 meV/atom
1.0
-5.737 -1.825 0.710
1.855 -4.359 3.783
-0.570 3.445 4.250
Ba Cd Ca Rh
2 1 1 1
direct
0.500 0.000 0.000
0.000 0.500 0.000
0.500 0.500 0.500
0.000 0.000 0.500
0.000 0.000 0.000

=====

| no. | spin magnetization (μB per cell) |
| --- | --- |
| 1 | 0.0 |
| 2 | 0.0 |
| 3 | 0.0 |
| 4 | 0.0 |
| 5 | 0.0 |
| 6 | 0.0 |